No. 1
# Li3BiB4O9

A relaxed structure of Li3BiB4O9 (PBE, Alexandria via LeMat-Bulk).

Calculated values
density = 3.97 Mg/m³
uncorrected energy = -6.95 eV/atom
ΔE_f (raw) = -2190 meV per atom

```
data_Li3BiB4O9
_chemical_formula_sum 'Li6 Bi2 B8 O18'
_cell_length_a 5.7226
_cell_length_b 8.4628
_cell_length_c 7.5855
_cell_angle_alpha 90.00
_cell_angle_beta 108.17
_cell_angle_gamma 90.00
_symmetry_space_group_name_H-M 'P 1 21/m 1'
_symmetry_Int_Tables_number 11
loop_
_symmetry_equiv_pos_as_xyz
'x,y,z'
'-x,-y,-z'
'-x,y+1/2,-z'
'x,-y+1/2,z'
loop_
_atom_site_label
_atom_site_fract_x
_atom_site_fract_y
_atom_site_fract_z
Li1 0.0527 0.2500 0.4634
Li2 0.3055 0.5207 0.7487
Bi1 0.1451 0.2500 0.0587
B1 0.2067 0.5462 0.3131
B2 0.4044 0.7500 0.5546
B3 0.4935 0.2500 0.7329
O1 0.0354 0.0703 0.2427
O2 0.2339 0.6083 0.4878
O3 0.2899 0.2500 0.8028
O4 0.3439 0.6038 0.2039
O5 0.4041 0.2500 0.5286
O6 0.4774 0.7500 0.7575
```

No. 2
# Li2Bi2B2O7

A relaxed structure of Li2Bi2B2O7 (PBE, Alexandria via LeMat-Bulk).

Calculated values
density = 5.66 Mg/m³
energy relative to the lowest polymorph listed for this composition = 0.00 kcal/mol of atoms
uncorrected energy = -6.49 eV/atom
ΔE_f (raw) = -1897 meV per atom

```
data_Li2Bi2B2O7
_chemical_formula_sum 'Li12 Bi12 B12 O42'
_cell_length_a 14.6609
_cell_length_b 8.6591
_cell_length_c 7.8361
_cell_angle_alpha 90.00
_cell_angle_beta 91.00
_cell_angle_gamma 90.00
_symmetry_space_group_name_H-M 'C 1 2 1'
_symmetry_Int_Tables_number 5
loop_
_symmetry_equiv_pos_as_xyz
'x,y,z'
'-x,y,-z'
'x+1/2,y+1/2,z'
'-x+1/2,y+1/2,-z'
loop_
_atom_site_label
_atom_site_fract_x
_atom_site_fract_y
_atom_site_fract_z
Li1 0.0147 0.0000 0.2517
Li2 0.1638 0.4815 0.8052
Li3 0.1715 0.4961 0.2667
Bi1 0.0000 0.2921 0.5000
Bi2 0.0000 0.4001 0.0000
Bi3 0.1344 0.8666 0.5292
Bi4 0.1596 0.7857 0.9888
B1 0.0068 0.6414 0.3052
B2 0.1538 0.1560 0.8077
B3 0.1851 0.1627 0.2869
O1 0.0000 0.9887 0.5000
O2 0.0333 0.4959 0.7140
O3 0.0369 0.7755 0.7564
O4 0.0607 0.1789 0.7832
O5 0.0911 0.6527 0.3857
O6 0.1185 0.5494 0.0406
O7 0.1434 0.2881 0.3602
O8 0.1462 0.0174 0.2699
O9 0.1939 0.0153 0.7690
O10 0.2066 0.2775 0.8699
O11 0.2235 0.6789 0.7648
```

No. 3
# Li2BiBO5

A relaxed structure of Li2BiBO5 (PBE, Alexandria via LeMat-Bulk).

Calculated values
density = 5.54 Mg/m³
uncorrected energy = -6.03 eV/atom
ΔE_f (raw) = -1680 meV per atom

```
data_Li2BiBO5
_chemical_formula_sum 'Li4 Bi2 B2 O10'
_cell_length_a 6.2933
_cell_length_b 6.2933
_cell_length_c 4.7516
_cell_angle_alpha 90.00
_cell_angle_beta 90.00
_cell_angle_gamma 90.00
_symmetry_space_group_name_H-M 'P 4/n m m'
_symmetry_Int_Tables_number 129
loop_
_symmetry_equiv_pos_as_xyz
'x,y,z'
'-x,-y,-z'
'-y+1/2,x,z'
'y+1/2,-x,-z'
'-x+1/2,-y+1/2,z'
'x+1/2,y+1/2,-z'
'y,-x+1/2,z'
'-y,x+1/2,-z'
'x+1/2,-y,-z'
'-x+1/2,y,z'
'-y,-x,-z'
'y,x,z'
'-x,y+1/2,-z'
'x,-y+1/2,z'
'y+1/2,x+1/2,-z'
'-y+1/2,-x+1/2,z'
loop_
_atom_site_label
_atom_site_fract_x
_atom_site_fract_y
_atom_site_fract_z
Li1 0.0000 0.0000 0.0000
Bi1 0.2500 0.2500 0.4520
B1 0.2500 0.7500 0.5000
O1 0.0691 0.7500 0.7011
O2 0.2500 0.2500 0.8806
```

No. 4
# LiBiB2O5

A relaxed structure of LiBiB2O5 (PBE, Alexandria via LeMat-Bulk).

Calculated values
density = 4.19 Mg/m³
energy relative to the lowest polymorph listed for this composition = 0.28 kcal/mol of atoms
uncorrected energy = -6.94 eV/atom
ΔE_f (raw) = -2056 meV per atom

```
data_LiBiB2O5
_chemical_formula_sum 'Li4 Bi4 B8 O20'
_cell_length_a 6.9510
_cell_length_b 11.0222
_cell_length_c 6.9563
_cell_angle_alpha 90.00
_cell_angle_beta 109.01
_cell_angle_gamma 90.00
_symmetry_space_group_name_H-M 'P 1 21/c 1'
_symmetry_Int_Tables_number 14
loop_
_symmetry_equiv_pos_as_xyz
'x,y,z'
'-x,-y,-z'
'-x,y+1/2,-z+1/2'
'x,-y+1/2,z+1/2'
loop_
_atom_site_label
_atom_site_fract_x
_atom_site_fract_y
_atom_site_fract_z
Li1 0.1986 0.0079 0.1270
Bi1 0.2469 0.6728 0.2697
B1 0.0820 0.0968 0.6881
B2 0.4621 0.0781 0.7678
O1 0.0638 0.0032 0.8140
O2 0.0843 0.6626 0.9266
O3 0.2723 0.1313 0.6800
O4 0.3702 0.6518 0.6468
O5 0.4980 0.5450 0.2716
```

No. 5
# Li3SiBiBO7

A relaxed structure of Li3SiBiBO7 (PBE, Alexandria via LeMat-Bulk).

Calculated values
density = 4.09 Mg/m³
uncorrected energy = -6.38 eV/atom
ΔE_f (raw) = -2042 meV per atom

```
data_Li3SiBiBO7
_chemical_formula_sum 'Li6 Si2 Bi2 B2 O14'
_cell_length_a 5.1696
_cell_length_b 6.8050
_cell_length_c 8.8503
_cell_angle_alpha 90.00
_cell_angle_beta 96.77
_cell_angle_gamma 90.00
_symmetry_space_group_name_H-M 'P 1 21/m 1'
_symmetry_Int_Tables_number 11
loop_
_symmetry_equiv_pos_as_xyz
'x,y,z'
'-x,-y,-z'
'-x,y+1/2,-z'
'x,-y+1/2,z'
loop_
_atom_site_label
_atom_site_fract_x
_atom_site_fract_y
_atom_site_fract_z
Li1 0.1923 0.2500 0.0909
Li2 0.2840 0.5391 0.7522
Si1 0.2452 0.2500 0.4035
Bi1 0.2156 0.7500 0.3263
B1 0.3478 0.7500 0.0370
O1 0.0907 0.7500 0.0696
O2 0.1219 0.0688 0.2926
O3 0.1629 0.2500 0.5753
O4 0.4228 0.7500 0.8948
O5 0.4320 0.7500 0.5787
O6 0.4618 0.2500 0.8337
```

No. 6
# LiBiB2P

A relaxed structure of LiBiB2P (PBE, Alexandria via LeMat-Bulk).

Calculated values
density = 5.58 Mg/m³
formation enthalpy at 0 K = 1.4900 eV per atom
uncorrected energy = -3.42 eV/atom

```
data_LiBiB2P
_chemical_formula_sum 'Li1 Bi1 B2 P1'
_cell_length_a 4.2099
_cell_length_b 4.2099
_cell_length_c 4.5073
_cell_angle_alpha 90.00
_cell_angle_beta 90.00
_cell_angle_gamma 90.00
_symmetry_space_group_name_H-M 'P 4/m m m'
_symmetry_Int_Tables_number 123
_symmetry_space_group_name_Hall '-P 4 2'
loop_
_atom_site_label
_atom_site_fract_x
_atom_site_fract_y
_atom_site_fract_z
Li1 0.0000 0.0000 0.0000
Bi1 0.5000 0.5000 0.5000
B1 0.0000 0.5000 0.0000
P1 0.0000 0.0000 0.5000
```

No. 7
# Li2BiB2Pd5

A relaxed structure of Li2BiB2Pd5 (PBE, Alexandria via LeMat-Bulk).

Calculated values
density = 8.47 Mg/m³
formation enthalpy at 0 K = -0.3067 eV per atom
uncorrected energy = -5.01 eV/atom

```
data_Li2BiB2Pd5
_chemical_formula_sum 'Li4 Bi2 B4 Pd10'
_cell_length_a 9.8769
_cell_length_b 9.8769
_cell_length_c 3.1203
_cell_angle_alpha 90.00
_cell_angle_beta 90.00
_cell_angle_gamma 90.00
_symmetry_space_group_name_H-M 'P 4/m b m'
_symmetry_Int_Tables_number 127
_symmetry_space_group_name_Hall '-P 4 2ab'
loop_
_atom_site_label
_atom_site_fract_x
_atom_site_fract_y
_atom_site_fract_z
Li1 0.1760 0.3240 0.0000
Bi1 0.0000 0.0000 0.0000
B1 0.1188 0.6188 0.0000
Pd1 0.0000 0.5000 0.5000
Pd2 0.0704 0.7665 0.5000
```

No. 8
# LiBiB2Pt

A relaxed structure of LiBiB2Pt (PBE, Alexandria via LeMat-Bulk).

Calculated values
density = 9.32 Mg/m³
formation enthalpy at 0 K = 1.3161 eV per atom
uncorrected energy = -3.72 eV/atom

```
data_LiBiB2Pt
_chemical_formula_sum 'Li1 Bi1 B2 Pt1'
_cell_length_a 4.1528
_cell_length_b 4.1528
_cell_length_c 4.4690
_cell_angle_alpha 90.00
_cell_angle_beta 90.00
_cell_angle_gamma 90.00
_symmetry_space_group_name_H-M 'P 4/m m m'
_symmetry_Int_Tables_number 123
_symmetry_space_group_name_Hall '-P 4 2'
loop_
_atom_site_label
_atom_site_fract_x
_atom_site_fract_y
_atom_site_fract_z
Li1 0.0000 0.0000 0.0000
Bi1 0.5000 0.5000 0.5000
B1 0.0000 0.5000 0.0000
Pt1 0.0000 0.0000 0.5000
```

Magnetization, record by record: 0.0, 0.0, 0.0, 0.0, 0.0, 0.0, 0.0, 0.0 μB per cell